1.
Here is Ac2TbPmY after structural relaxation from Alexandria. Energies are from PBE-GGA.

uncorrected energy	-45.43	eV per cell
density	7.196	g cm⁻³
space-group type	No. 51

Cell and atoms, written as POSCAR:
```
Ac2TbPmY
1.0
6.4486 0.0000 0.0000
0.0000 8.9706 0.0000
0.0000 0.0000 6.7563
Ac Tb Pm Y
4 2 2 2
Cartesian
1.6122 1.8213 1.4028 Ac
1.6122 7.1493 1.4028 Ac
4.8365 1.8213 5.3536 Ac
4.8365 7.1493 5.3536 Ac
0.0000 4.4853 3.3782 Tb
3.2243 4.4853 3.3782 Tb
1.6122 4.4853 6.1998 Pm
4.8365 4.4853 0.5566 Pm
1.6122 0.0000 4.5848 Y
4.8365 0.0000 2.1715 Y
```



2.
Here is NaHgF6 after structural relaxation from Alexandria. Energies are from PBE-GGA.

density	4.507	g cm⁻³
energy relative to the elements, uncorrected	-1194.7	meV per atom
space-group type	No. 2

Cell and atoms, written as POSCAR:
```
NaHgF6
1.0
5.1375 0.0000 0.0000
2.3327 4.6930 0.0000
2.4786 1.3090 5.1580
Na Hg F
1 1 6
Cartesian
0.0000 0.0000 0.0000 Na
4.9744 3.0010 2.5790 Hg
3.3770 3.0344 3.7635 F
4.1839 4.5764 1.3158 F
5.8429 4.3495 3.7531 F
4.1060 1.6526 1.4049 F
5.7649 1.4256 3.8422 F
6.5719 2.9676 1.3944 F
```



3.
Here is Zr2PdRh2 after structural relaxation from Alexandria. Energies are from PBE-GGA.

density	8.934	g cm⁻³
excess energy over the best structure of this formula in the dataset	171.8	meV per atom
space-group type	No. 127

Cell and atoms, written as POSCAR:
```
Zr2PdRh2
1.0
7.6363 0.0000 0.0000
0.0000 7.6363 0.0000
0.0000 0.0000 3.1537
Zr Pd Rh
4 2 4
Cartesian
1.2112 2.6069 0.0000 Zr
2.6069 6.4251 0.0000 Zr
5.0293 1.2112 0.0000 Zr
6.4251 5.0293 0.0000 Zr
0.0000 0.0000 0.0000 Pd
3.8181 3.8181 0.0000 Pd
1.0606 4.8788 1.5768 Rh
2.7575 1.0606 1.5768 Rh
4.8788 6.5756 1.5768 Rh
6.5756 2.7575 1.5768 Rh
```



4.
Here is NaTlS3 after structural relaxation from Alexandria. Energies are from PBE-GGA.

density	3.848	g cm⁻³
excess energy over the best structure of this formula in the dataset	925.4	meV per atom
energy relative to the elements, uncorrected	497.1	meV per atom
space-group type	No. 221

Cell and atoms, written as POSCAR:
```
NaTlS3
1.0
5.1877 0.0000 0.0000
0.0000 5.1877 0.0000
0.0000 0.0000 5.1877
Na Tl S
1 1 3
Cartesian
0.0000 0.0000 0.0000 Na
2.5939 2.5939 2.5939 Tl
0.0000 0.0000 2.5939 S
0.0000 2.5939 0.0000 S
2.5939 0.0000 0.0000 S
```



5.
Here is LaTcAg2 after structural relaxation from Alexandria. Energies are from PBE-GGA.

density	9.396	g cm⁻³
excess energy over the best structure of this formula in the dataset	323.2	meV per atom
space-group type	No. 160

Cell and atoms, written as POSCAR:
```
LaTcAg2
1.0
1.5048 0.8688 10.1984
-1.5048 0.8688 10.1984
0.0000 -1.7376 10.1984
La Tc Ag
1 1 2
Cartesian
0.0000 0.0000 0.0000 La
0.0000 0.0000 23.0364 Tc
0.0000 0.0000 7.2687 Ag
0.0000 0.0000 15.1136 Ag
```



6.
Here is KTeOs2Pb after structural relaxation from Alexandria. Energies are from PBE-GGA.

density	7.521	g cm⁻³
energy relative to the elements, uncorrected	1895.7	meV per atom
space-group type	No. 123

Cell and atoms, written as POSCAR:
```
KTeOs2Pb
1.0
5.1853 0.0000 0.0000
0.0000 5.1853 0.0000
0.0000 0.0000 6.1946
K Te Os Pb
1 1 2 1
Cartesian
0.0000 0.0000 0.0000 K
2.5927 2.5927 0.0000 Te
0.0000 2.5927 3.0973 Os
2.5927 0.0000 3.0973 Os
2.5927 2.5927 3.0973 Pb
```